Entry 1:
Here is LiBe2Mo after structural relaxation from Alexandria via LeMat-Bulk. Energies are from GGA-PBEsol.

a = 5.001 Å, b = 5.001 Å, c = 5.001 Å
α = 152.14°, β = 128.93°, γ = 59.17°
Element x y z (fractional)
Li: 0.000 0.000 0.000
Be: 0.547 0.547 0.000
Be: 0.758 0.258 0.500
Mo: 0.290 0.790 0.500

Properties
Energy relative to the elements (meV per atom): 213
Calculated total energy (eV/atom): -5.22
Polymorph energy (0 for the lowest one) (meV per atom): 39
Crystal system: orthorhombic

Entry 2:
Here is Li2BeMoS after structural relaxation from Alexandria via LeMat-Bulk. Energies are from GGA-PBEsol.

a = 3.986 Å, b = 3.986 Å, c = 4.292 Å
α = 90.00°, β = 90.00°, γ = 90.00°
Element x y z (fractional)
Li: 0.000 0.500 0.000
Li: 0.500 0.000 0.000
Be: 0.000 0.000 0.000
Mo: 0.000 0.000 0.500
S: 0.500 0.500 0.500

Properties
Calculated total energy (eV/atom): -4.22
Crystal system: tetragonal
Formation energy from raw total energies (kJ/mol of formula units): 286